ErPuTe2Se: relaxed, PBE. Values from VASP.

```
&SYSTEM
  ibrav = 0, nat = 10, ntyp = 4
/
ATOMIC_SPECIES
Er 167.26 Er.upf
Pu 244.00 Pu.upf
Te 127.60 Te.upf
Se 78.96 Se.upf
CELL_PARAMETERS angstrom
4.3224 0.0000 0.0000
0.0000 4.3224 0.0000
0.0000 0.0000 15.4155
ATOMIC_POSITIONS crystal
Er 0.2500 0.2500 0.0953
Er 0.7500 0.7500 0.9047
Pu 0.2500 0.2500 0.6304
Pu 0.7500 0.7500 0.3696
Te 0.2500 0.2500 0.2907
Te 0.2500 0.2500 0.8934
Te 0.7500 0.7500 0.1066
Te 0.7500 0.7500 0.7093
Se 0.2500 0.7500 0.5000
Se 0.7500 0.2500 0.5000
```

Calculated values
SG = P4/nmm, No. 129
E_form (uncorrected) = -575 kJ/mol of formula units
Spin magnetization = 5.2 μB per formula unit